P) The following is a PBE calculation of a relaxed HfFeBiAu crystal, from the Open Quantum Materials Database.

Cell: 4.7810 4.7810 4.7810 Å, 60.00 60.00 60.00°
Last column: nearest neighbours and their distance in Å.
Atoms (fractional coordinates):
1 Hf 0.2500 0.2500 0.2500  4 Fe 2.93, 4 Bi 2.93
2 Fe 0.5000 0.5000 0.5000  4 Hf 2.93, 4 Au 2.93
3 Bi 0.0000 0.0000 0.0000  4 Hf 2.93, 4 Au 2.93
4 Au 0.7500 0.7500 0.7500  4 Fe 2.93, 4 Bi 2.93

Q) The following is a PBE calculation of a relaxed HfFeBiAu crystal, from the Open Quantum Materials Database.

Cell: 4.7651 4.7651 4.7651 Å, 60.00 60.00 60.00°
Last column: nearest neighbours and their distance in Å.
Atoms (fractional coordinates):
1 Hf 0.0000 0.0000 0.0000  4 Fe 2.92, 4 Au 2.92
2 Au 0.7500 0.7500 0.7500  4 Bi 2.92, 4 Hf 2.92
3 Fe 0.2500 0.2500 0.2500  4 Hf 2.92, 4 Bi 2.92
4 Bi 0.5000 0.5000 0.5000  4 Au 2.92, 4 Fe 2.92

Tell me which of them is the least stable. Sure, it is P).

P) The following is a PBE calculation of a relaxed NbFeBiAu crystal, from the Open Quantum Materials Database.

Cell: 4.7161 4.7161 4.7161 Å, 60.00 60.00 60.00°
Last column: nearest neighbours and their distance in Å.
Atoms (fractional coordinates):
1 Nb 0.5000 0.5000 0.5000  4 Au 2.89, 4 Fe 2.89
2 Fe 0.7500 0.7500 0.7500  4 Bi 2.89, 4 Nb 2.89
3 Bi 0.0000 0.0000 0.0000  4 Fe 2.89, 4 Au 2.89
4 Au 0.2500 0.2500 0.2500  4 Nb 2.89, 4 Bi 2.89

Q) The following is a PBE calculation of a relaxed NbFeBiAu crystal, from the Open Quantum Materials Database.

Cell: 4.6590 4.6590 4.6590 Å, 60.00 60.00 60.00°
Last column: nearest neighbours and their distance in Å.
Atoms (fractional coordinates):
1 Bi 0.0000 0.0000 0.0000  4 Nb 2.85, 4 Fe 2.85
2 Fe 0.7500 0.7500 0.7500  4 Au 2.85, 4 Bi 2.85
3 Au 0.5000 0.5000 0.5000  4 Nb 2.85, 4 Fe 2.85
4 Nb 0.2500 0.2500 0.2500  4 Bi 2.85, 4 Au 2.85

Tell me which of them is the least stable. Sure, it is P).

P) The following is a PBE calculation of a relaxed ZrFeBiAu crystal, from the Open Quantum Materials Database.

Cell: 4.7884 4.7884 4.7884 Å, 60.00 60.00 60.00°
Last column: nearest neighbours and their distance in Å.
Atoms (fractional coordinates):
1 Au 0.2500 0.2500 0.2500  4 Zr 2.93, 4 Bi 2.93
2 Zr 0.5000 0.5000 0.5000  4 Au 2.93, 4 Fe 2.93
3 Bi 0.0000 0.0000 0.0000  4 Fe 2.93, 4 Au 2.93
4 Fe 0.7500 0.7500 0.7500  4 Zr 2.93, 4 Bi 2.93

Q) The following is a PBE calculation of a relaxed ZrFeBiAu crystal, from the Open Quantum Materials Database.

Cell: 4.7526 4.7526 4.7526 Å, 60.00 60.00 60.00°
Last column: nearest neighbours and their distance in Å.
Atoms (fractional coordinates):
1 Bi 0.0000 0.0000 0.0000  4 Zr 2.91, 4 Fe 2.91
2 Au 0.5000 0.5000 0.5000  4 Zr 2.91, 4 Fe 2.91
3 Fe 0.7500 0.7500 0.7500  4 Au 2.91, 4 Bi 2.91
4 Zr 0.2500 0.2500 0.2500  4 Au 2.91, 4 Bi 2.91

R) The following is a PBE calculation of a relaxed ZrFeBiAu crystal, from the Open Quantum Materials Database.

Cell: 4.8556 4.8556 4.8556 Å, 60.00 60.00 60.00°
Last column: nearest neighbours and their distance in Å.
Atoms (fractional coordinates):
1 Zr 0.2500 0.2500 0.2500  4 Bi 2.97, 4 Fe 2.97
2 Bi 0.0000 0.0000 0.0000  4 Zr 2.97, 4 Au 2.97
3 Fe 0.5000 0.5000 0.5000  4 Au 2.97, 4 Zr 2.97
4 Au 0.7500 0.7500 0.7500  4 Fe 2.97, 4 Bi 2.97

Tell me which of them is the least stable. Sure, it is R).

P) The following is a PBE calculation of a relaxed Hf2Bi2Au crystal, from the Open Quantum Materials Database.

Cell: 6.9923 6.9923 6.9923 Å, 139.39 139.39 58.78°
Last column: nearest neighbours and their distance in Å.
Atoms (fractional coordinates):
1 Hf 0.7500 0.2500 0.5000  4 Bi 2.89
2 Hf 0.2500 0.7500 0.5000  4 Bi 2.89
3 Bi 0.3784 0.3784 0.0000  4 Hf 2.89, 1 Bi 2.96
4 Bi 0.6216 0.6216 0.0000  4 Hf 2.89, 1 Bi 2.96
5 Au 0.0000 0.0000 0.0000  8 Bi 3.74, 8 Hf 3.89

Q) The following is a PBE calculation of a relaxed Hf2Bi2Au crystal, from the Open Quantum Materials Database.

Cell: 7.3783 7.3783 7.3783 Å, 145.66 145.66 49.36°
Last column: nearest neighbours and their distance in Å.
Atoms (fractional coordinates):
1 Hf 0.4027 0.4027 0.0000  1 Hf 2.61
2 Hf 0.5973 0.5973 0.0000  1 Hf 2.61
3 Bi 0.2500 0.7500 0.5000  4 Hf 2.99, 4 Bi 3.08
4 Bi 0.7500 0.2500 0.5000  4 Hf 2.99, 4 Bi 3.08
5 Au 0.0000 0.0000 0.0000  8 Hf 3.35

Tell me which of them is the least stable. Sure, it is Q).

P) The following is a PBE calculation of a relaxed ScBiIrAu crystal, from the Open Quantum Materials Database.

Cell: 4.8356 4.8356 4.8356 Å, 60.00 60.00 60.00°
Last column: nearest neighbours and their distance in Å.
Atoms (fractional coordinates):
1 Ir 0.2500 0.2500 0.2500  4 Bi 2.96, 4 Sc 2.96
2 Au 0.7500 0.7500 0.7500  4 Sc 2.96, 4 Bi 2.96
3 Bi 0.0000 0.0000 0.0000  4 Ir 2.96, 4 Au 2.96
4 Sc 0.5000 0.5000 0.5000  4 Ir 2.96, 4 Au 2.96

Q) The following is a PBE calculation of a relaxed ScBiIrAu crystal, from the Open Quantum Materials Database.

Cell: 4.7836 4.7836 4.7836 Å, 60.00 60.00 60.00°
Last column: nearest neighbours and their distance in Å.
Atoms (fractional coordinates):
1 Ir 0.0000 0.0000 0.0000  4 Au 2.93, 4 Bi 2.93
2 Au 0.7500 0.7500 0.7500  4 Ir 2.93, 4 Sc 2.93
3 Bi 0.2500 0.2500 0.2500  4 Sc 2.93, 4 Ir 2.93
4 Sc 0.5000 0.5000 0.5000  4 Bi 2.93, 4 Au 2.93

Tell me which of them is the least stable. Sure, it is Q).

P) The following is a PBE calculation of a relaxed KBiAu crystal, from the Open Quantum Materials Database.

Cell: 5.2700 5.2700 5.2700 Å, 60.00 60.00 60.00°
Last column: nearest neighbours and their distance in Å.
Atoms (fractional coordinates):
1 Au 0.2500 0.2500 0.2500  4 K 3.23
2 Bi 0.7500 0.7500 0.7500  4 K 3.23
3 K 0.0000 0.0000 0.0000  4 Bi 3.23, 4 Au 3.23

Q) The following is a PBE calculation of a relaxed KBiAu crystal, from the Open Quantum Materials Database.

Cell: 5.1593 5.1593 5.1593 Å, 60.00 60.00 60.00°
Last column: nearest neighbours and their distance in Å.
Atoms (fractional coordinates):
1 K 0.7500 0.7500 0.7500  4 Au 3.16
2 Bi 0.2500 0.2500 0.2500  4 Au 3.16
3 Au 0.0000 0.0000 0.0000  4 Bi 3.16, 4 K 3.16

R) The following is a PBE calculation of a relaxed KBiAu crystal, from the Open Quantum Materials Database.

Cell: 5.9539 6.0306 6.8217 Å, 112.58 108.95 96.18°
Last column: nearest neighbours and their distance in Å.
Atoms (fractional coordinates):
1 Bi 0.9772 0.5099 0.2391  2 Au 2.76
2 Bi 0.0228 0.4901 0.7609  2 Au 2.76
3 K 0.5997 0.8861 0.7397  4 Au 3.44-3.67, 3 Bi 3.66-3.82
4 K 0.4003 0.1139 0.2603  4 Au 3.44-3.67, 3 Bi 3.66-3.82
5 Au 0.0000 0.0000 0.5000  2 Bi 2.76
6 Au 0.5000 0.5000 0.0000  2 Bi 2.76

Tell me which of them is the least stable. Sure, it is P).

P) The following is a PBE calculation of a relaxed KNaBiAu crystal, from the Open Quantum Materials Database.

Cell: 6.0794 6.1602 6.8914 Å, 90.00 105.20 90.00°
Last column: nearest neighbours and their distance in Å.
Atoms (fractional coordinates):
1 Bi 0.7308 0.7500 0.6872  2 Au 2.80
2 Bi 0.2692 0.2500 0.3128  2 Au 2.80
3 Au 0.0000 0.5000 0.0000  2 Bi 2.80, 2 Au 3.08
4 Au 0.0000 0.0000 0.0000  2 Bi 2.80, 2 Au 3.08
5 Na 0.8457 0.2500 0.5240  4 Bi 3.27-3.42, 2 Au 3.52, 1 K 3.63
6 Na 0.1543 0.7500 0.4760  4 Bi 3.27-3.42, 2 Au 3.52, 1 K 3.63
7 K 0.5390 0.7500 0.1518  4 Au 3.52-3.59, 4 Bi 3.57-3.79, 2 Na 3.63-3.82, 2 K 3.68
8 K 0.4610 0.2500 0.8482  4 Au 3.52-3.59, 4 Bi 3.57-3.79, 2 Na 3.63-3.82, 2 K 3.68

Q) The following is a PBE calculation of a relaxed KNaBiAu crystal, from the Open Quantum Materials Database.

Cell: 6.3408 6.4459 6.4459 Å, 105.16 90.00 90.00°
Last column: nearest neighbours and their distance in Å.
Atoms (fractional coordinates):
1 Bi 0.0000 0.7089 0.7089  2 Au 2.81
2 Bi 0.5000 0.2953 0.2953  2 Au 2.78
3 K 0.5000 0.8511 0.4960  4 Bi 3.44-3.67, 2 Au 3.59, 1 K 3.64, 2 Na 3.70
4 K 0.5000 0.4960 0.8511  4 Bi 3.44-3.67, 2 Au 3.59, 1 K 3.64, 2 Na 3.70
5 Na 0.0000 0.4861 0.1440  2 Au 3.34, 4 Bi 3.47-3.63, 1 Na 3.50, 2 K 3.70
6 Na 0.0000 0.1440 0.4861  2 Au 3.34, 4 Bi 3.47-3.63, 1 Na 3.50, 2 K 3.70
7 Au 0.7592 0.0093 0.0093  2 Bi 2.78-2.81, 1 Au 3.05
8 Au 0.2408 0.0093 0.0093  2 Bi 2.78-2.81, 1 Au 3.05

R) The following is a PBE calculation of a relaxed KNaBiAu crystal, from the Open Quantum Materials Database.

Cell: 5.3226 5.3226 5.3226 Å, 60.00 60.00 60.00°
Last column: nearest neighbours and their distance in Å.
Atoms (fractional coordinates):
1 Na 0.2500 0.2500 0.2500  4 Bi 3.26, 4 K 3.26
2 K 0.0000 0.0000 0.0000  4 Au 3.26, 4 Na 3.26
3 Au 0.7500 0.7500 0.7500  4 Bi 3.26, 4 K 3.26
4 Bi 0.5000 0.5000 0.5000  4 Na 3.26, 4 Au 3.26

Tell me which of them is the least stable. Sure, it is R).

P) The following is a PBE calculation of a relaxed KNaBiAu crystal, from the Open Quantum Materials Database.

Cell: 6.0926 6.1662 6.8758 Å, 90.00 105.23 90.00°
Last column: nearest neighbours and their distance in Å.
Atoms (fractional coordinates):
1 Au 0.0000 0.0000 0.0000  2 Bi 2.80, 2 Au 3.08
2 Au 0.0000 0.5000 0.0000  2 Bi 2.80, 2 Au 3.08
3 K 0.4640 0.2500 0.8484  4 Au 3.51-3.61, 4 Bi 3.56-3.78, 2 Na 3.64-3.84, 2 K 3.68
4 K 0.5360 0.7500 0.1516  4 Au 3.51-3.61, 4 Bi 3.56-3.78, 2 Na 3.64-3.84, 2 K 3.68
5 Bi 0.7296 0.7500 0.6876  2 Au 2.80
6 Bi 0.2704 0.2500 0.3124  2 Au 2.80
7 Na 0.1533 0.7500 0.4785  4 Bi 3.27-3.43, 2 Au 3.53, 1 K 3.64, 2 Na 3.66
8 Na 0.8467 0.2500 0.5215  4 Bi 3.27-3.43, 2 Au 3.53, 1 K 3.64, 2 Na 3.66

Q) The following is a PBE calculation of a relaxed KNaBiAu crystal, from the Open Quantum Materials Database.

Cell: 5.4634 5.4634 5.4634 Å, 60.00 60.00 60.00°
Last column: nearest neighbours and their distance in Å.
Atoms (fractional coordinates):
1 K 0.0000 0.0000 0.0000  4 Au 3.35, 4 Bi 3.35
2 Bi 0.2500 0.2500 0.2500  4 K 3.35, 4 Na 3.35
3 Au 0.7500 0.7500 0.7500  4 K 3.35, 4 Na 3.35
4 Na 0.5000 0.5000 0.5000  4 Au 3.35, 4 Bi 3.35

Tell me which of them is the least stable. Sure, it is Q).